A plane-wave DFT calculation with PBE was carried out for BaC7 after structural relaxation.

Values from the calculation:
* formation energy: 4.450 eV/atom
* uncorrected energy: -3.862 eV per atom

Unit cell a=5.146 b=5.146 c=5.146 alpha=60.00 beta=60.00 gamma=60.00
Element x y z (fractional)
Ba 0.000 0.000 0.000
C 0.000 0.000 0.500
C 0.000 0.500 0.000
C 0.000 0.500 0.500
C 0.500 0.000 0.000
C 0.500 0.000 0.500
C 0.500 0.500 0.000
C 0.500 0.500 0.500